! PBE Ac6Hg3Ir2Ru, optimized geometry; values from VASP
! Total energy ... -4.880 eV per atom
! Energy of formation ... -0.50 eV/atom
! Volume ... 401.5 Å³/cell
! Theoretical density ... 10.13 Mg/m³
! Density of states at the Fermi level ... 0.727 states/eV/atom
&SYSTEM
  ibrav = 0, nat = 12, ntyp = 4
/
ATOMIC_SPECIES
Ac 227.00 Ac.upf
Hg 200.59 Hg.upf
Ir 192.22 Ir.upf
Ru 101.07 Ru.upf
CELL_PARAMETERS angstrom
3.755 -6.505 0.000
3.755 6.505 0.000
-2.500 0.000 8.219
ATOMIC_POSITIONS crystal
Ac 0.065 0.395 0.195
Ac 0.264 0.264 0.801
Ac 0.395 0.065 0.195
Ac 0.605 0.935 0.805
Ac 0.736 0.736 0.199
Ac 0.935 0.605 0.805
Hg 0.171 0.829 0.500
Hg 0.500 0.500 0.500
Hg 0.829 0.171 0.500
Ir 0.334 0.666 0.000
Ir 0.666 0.334 0.000
Ru 0.000 0.000 0.000



! PBE Ac2AlIn3Hg4, optimized geometry; values from VASP
! Total energy ... -2.456 eV per atom
! Energy of formation ... -0.32 eV/atom
! Volume ... 271.6 Å³/cell
! Theoretical density ... 9.95 Mg/m³
! Density of states at the Fermi level ... 0.338 states/eV/atom
&SYSTEM
  ibrav = 0, nat = 10, ntyp = 4
/
ATOMIC_SPECIES
Ac 227.00 Ac.upf
Al 26.98 Al.upf
In 114.82 In.upf
Hg 200.59 Hg.upf
CELL_PARAMETERS angstrom
4.811 0.000 0.000
0.000 4.811 0.000
0.000 0.000 11.737
ATOMIC_POSITIONS crystal
Ac 0.000 0.500 0.248
Ac 0.500 0.000 0.752
Al 0.500 0.500 0.000
In 0.000 0.000 0.000
In 0.000 0.500 0.637
In 0.500 0.000 0.363
Hg 0.000 0.000 0.500
Hg 0.000 0.500 0.872
Hg 0.500 0.000 0.128
Hg 0.500 0.500 0.500



! PBE LaZrW2, optimized geometry; values from VASP
! Total energy ... -9.386 eV per atom
! Offset from the most stable computed form ... 0.210 eV per atom
! Energy of formation ... 0.46 eV/atom
! Volume ... 87.2 Å³/cell
! Theoretical density ... 11.39 Mg/m³
! Density of states at the Fermi level ... 1.169 states/eV/atom
&SYSTEM
  ibrav = 0, nat = 4, ntyp = 3
/
ATOMIC_SPECIES
La 138.91 La.upf
Zr 91.22 Zr.upf
W 183.84 W.upf
CELL_PARAMETERS angstrom
3.014 0.000 0.000
0.000 4.347 0.000
-1.401 0.000 6.652
ATOMIC_POSITIONS crystal
La 0.000 0.000 0.000
Zr 0.384 0.500 0.681
W 0.562 0.500 0.287
W 0.925 0.000 0.458



! PBE Pa2BiRh3, optimized geometry; values from VASP
! Total energy ... -7.817 eV per atom
! Energy of formation ... -0.33 eV/atom
! Volume ... 561.0 Å³/cell
! Theoretical density ... 11.60 Mg/m³
! Density of states at the Fermi level ... 1.021 states/eV/atom
&SYSTEM
  ibrav = 0, nat = 24, ntyp = 3
/
ATOMIC_SPECIES
Pa 231.04 Pa.upf
Bi 208.98 Bi.upf
Rh 102.91 Rh.upf
CELL_PARAMETERS angstrom
0.000 6.546 6.546
6.546 0.000 6.546
6.546 6.546 0.000
ATOMIC_POSITIONS crystal
Pa 0.179 0.774 0.774
Pa 0.226 0.226 0.226
Pa 0.226 0.226 0.821
Pa 0.226 0.821 0.226
Pa 0.774 0.179 0.774
Pa 0.774 0.774 0.179
Pa 0.774 0.774 0.774
Pa 0.821 0.226 0.226
Bi 0.000 0.500 0.500
Bi 0.500 0.000 0.500
Bi 0.500 0.500 0.000
Bi 0.500 0.500 0.500
Rh 0.116 0.116 0.634
Rh 0.116 0.634 0.116
Rh 0.116 0.634 0.634
Rh 0.366 0.366 0.884
Rh 0.366 0.884 0.366
Rh 0.366 0.884 0.884
Rh 0.634 0.116 0.116
Rh 0.634 0.116 0.634
Rh 0.634 0.634 0.116
Rh 0.884 0.366 0.366
Rh 0.884 0.366 0.884
Rh 0.884 0.884 0.366